[1]
# Sm6VO12

An optimized crystal structure of Sm6VO12 (GGA+U, the Alexandria database).

```
Sm6VO12
1.0
4.988 2.880 3.191
-4.988 2.880 3.191
0.000 -5.759 3.191
Sm V O
6 1 12
Cartesian
-3.407 -1.069 4.937 Sm
-0.778 -3.485 4.636 Sm
-2.629 2.416 4.636 Sm
2.629 -2.416 4.937 Sm
0.778 3.485 4.937 Sm
3.407 1.069 4.636 Sm
0.000 0.000 4.786 V
-4.258 0.924 4.113 O
-2.929 -3.225 5.460 O
-1.121 -1.219 3.758 O
1.329 -4.149 4.113 O
-0.495 1.581 3.758 O
-1.617 0.362 5.814 O
1.617 -0.362 3.758 O
0.495 -1.581 5.814 O
-1.329 4.149 5.460 O
1.121 1.219 5.814 O
2.929 3.225 4.113 O
4.258 -0.924 5.460 O
```

Computed properties:
Its space group is R-3 (148). For the total magnetic moment, the calculation gives 0.06 μB/atom. The theoretical density comes out at 6.9 g/cm3.

***

[2]
# SmV2O6

An optimized crystal structure of SmV2O6 (GGA+U, the Alexandria database).

```
SmV2O6
1.0
6.174 0.000 0.000
-3.087 5.347 0.000
0.000 0.000 2.759
Sm V O
1 2 6
Cartesian
0.000 0.000 0.000 Sm
0.000 3.565 0.652 V
3.087 1.782 2.108 V
-1.389 3.838 2.034 O
0.458 2.225 2.034 O
2.156 0.716 0.725 O
0.931 4.631 2.034 O
2.629 3.122 0.725 O
4.476 1.509 0.725 O
```

Computed properties:
Its space group is P-3 (147). For the total magnetic moment, the calculation gives 0.08 μB/atom. The theoretical density comes out at 6.3 g/cm3.

***

[3]
# SmVO3

An optimized crystal structure of SmVO3 (GGA+U, the Alexandria database).

```
SmVO3
1.0
7.729 0.000 0.000
0.000 5.438 0.000
-0.018 0.000 5.762
Sm V O
4 4 12
Cartesian
1.932 0.103 0.375 Sm
1.923 2.616 3.255 Sm
5.787 2.822 2.506 Sm
5.778 5.335 5.387 Sm
-0.009 0.000 2.881 V
0.000 2.719 0.000 V
3.855 0.000 2.881 V
3.864 2.719 0.000 V
0.410 1.041 4.583 O
0.420 1.678 1.702 O
1.913 3.282 5.564 O
1.922 4.875 2.683 O
3.447 1.084 4.655 O
3.456 1.635 1.774 O
4.255 3.803 3.988 O
4.264 4.354 1.107 O
5.789 0.563 3.079 O
5.798 2.156 0.198 O
7.291 3.760 4.059 O
7.300 4.397 1.178 O
```

Computed properties:
Its space group is P2_1/c (14). For the total magnetic moment, the calculation gives 0.40 μB/atom. The theoretical density comes out at 6.8 g/cm3.

***

Number 1: DFT total energy -8.060 eV/atom. Number 2: DFT total energy -7.292 eV/atom. Number 3: DFT total energy -8.221 eV/atom.